[1]
VASP calculation (PBE) on BaIrCl6 after structural relaxation.

Geometry as POSCAR:
```
BaIrCl6
1.0
-1.358 1.947 6.162
-2.673 -4.275 4.310
4.214 -2.464 5.227
Cl Ba Ir
6 1 1
Direct
0.821 0.007 0.779
0.179 0.993 0.221
0.609 0.178 0.221
0.008 0.389 0.778
0.391 0.822 0.779
0.992 0.611 0.222
0.500 0.500 0.500
0.000 0.000 0.000
```

Calculated values
For the total moment, the calculation gives 1.038 μB per formula unit. The value obtained for the excess energy over the best structure of this formula in the dataset is 62 meV per atom. The calculation puts the uncorrected formation energy at -1.168 eV per atom. Its space group is P-1. The crystal system is triclinic.

[2]
VASP calculation (PBE) on AcCe2Hg3 after structural relaxation.

Geometry as POSCAR:
```
AcCe2Hg3
1.0
-3.178 2.319 0.066
-0.341 -0.357 -3.904
-6.715 -9.241 1.431
Ac Hg Ce
1 3 2
Direct
0.500 0.500 0.500
0.000 0.000 0.684
0.000 0.000 0.316
0.000 0.000 0.000
0.500 0.500 0.157
0.500 0.500 0.843
```

Calculated values
For the total moment, the calculation gives 3.104 μB per formula unit. The formation energy from the elements is -0.338 eV per atom. Its space group is P4/mmm. The crystal system is tetragonal.

[3]
VASP calculation (PBE) on Mg3TlAu2 after structural relaxation.

Geometry as POSCAR:
```
Mg3TlAu2
1.0
3.341 0.000 0.000
0.000 3.341 0.000
0.000 0.000 11.010
Au Mg Tl
2 3 1
Direct
0.500 0.500 0.148
0.500 0.500 0.852
0.000 0.000 0.289
0.000 0.000 0.711
0.000 0.000 0.000
0.500 0.500 0.500
```

Calculated values
For the total moment, the calculation gives 0.000 μB per formula unit. The formation energy from the elements is -0.415 eV per atom. Its space group is P4/mmm. The crystal system is tetragonal.